No. 1
# Ti6NbBi

Ti6NbBi after structural relaxation (PBE, Alexandria via LeMat-Bulk).

E above lowest polymorph: 300 meV per atom
Formation energy: 2.14 eV per formula unit

Structure (extended XYZ):
```
8
Lattice="4.411 0.252 0.846 0.583 4.380 0.846 2.438 2.261 9.359" Properties=species:S:1:pos:R:3 pbc="T T T"
Ti 3.708 5.314 7.827
Ti 5.578 3.299 7.827
Nb 0.000 0.000 0.000
Ti 1.687 1.564 1.045
Bi 3.716 3.446 5.526
Ti 3.723 1.578 3.225
Ti 1.853 3.594 3.225
Ti 5.745 5.328 10.007
```

***

No. 2
# TiNbBi

TiNbBi after structural relaxation (PBE, Alexandria via LeMat-Bulk).

E above lowest polymorph: 285 meV per atom
Formation energy: 0.80 eV per formula unit

Structure (extended XYZ):
```
3
Lattice="3.062 0.000 0.000 0.000 4.801 0.000 0.000 -2.400 4.158" Properties=species:S:1:pos:R:3 pbc="T T T"
Ti 0.009 0.000 0.000
Bi 0.972 2.400 1.386
Nb 2.081 0.000 2.772
```

***

No. 3
# Ti4Nb5Bi2

Ti4Nb5Bi2 after structural relaxation (PBE, Alexandria via LeMat-Bulk).

Formation energy: 0.80 eV per formula unit

Structure (extended XYZ):
```
11
Lattice="-1.830 -1.798 -1.652 1.960 -6.469 2.657 -5.586 -5.645 8.847" Properties=species:S:1:pos:R:3 pbc="T T T"
Nb -2.861 -8.281 5.456
Ti -3.031 -10.992 6.762
Nb -0.034 -6.905 4.511
Bi -1.586 -5.957 1.572
Bi -3.871 -7.955 8.280
Ti -2.426 -2.919 3.089
Ti -1.397 -3.271 0.383
Nb -2.596 -5.630 4.396
Nb -5.422 -7.006 5.341
Ti -4.059 -10.640 9.469
Nb -0.915 -0.899 -0.826
```

***

No. 4
# TiNbBi

TiNbBi after structural relaxation (PBE, Alexandria via LeMat-Bulk).

E above lowest polymorph: 0 meV per atom
Formation energy: -0.05 eV per formula unit

Structure (extended XYZ):
```
3
Lattice="3.605 0.000 0.000 0.000 3.605 0.000 -1.802 -1.802 4.604" Properties=species:S:1:pos:R:3 pbc="T T T"
Ti 1.802 1.802 4.067
Bi 1.802 1.802 1.076
Nb 0.000 0.000 2.684
```

***

No. 5
# Ti4NbBi2

Ti4NbBi2 after structural relaxation (PBE, Alexandria via LeMat-Bulk).

Formation energy: 0.92 eV per formula unit

Structure (extended XYZ):
```
14
Lattice="7.453 0.000 -0.689 0.000 5.320 0.000 -3.475 0.000 7.455" Properties=species:S:1:pos:R:3 pbc="T T T"
Ti -2.014 3.990 6.178
Ti 0.305 0.022 5.656
Bi 0.626 1.330 3.158
Ti 3.674 5.298 1.111
Bi 3.352 3.990 3.608
Ti 3.674 2.682 1.111
Ti 5.993 1.330 0.588
Nb 2.915 1.330 5.093
Ti 0.305 2.638 5.656
Bi 5.983 3.990 -0.502
Ti 5.212 1.330 3.530
Bi -2.005 1.330 7.268
Ti -1.234 3.990 3.236
Nb 1.063 3.990 1.673
```

***

No. 6
# Ti7Nb2Bi2

Ti7Nb2Bi2 after structural relaxation (PBE, Alexandria via LeMat-Bulk).

Formation energy: 3.43 eV per formula unit

Structure (extended XYZ):
```
11
Lattice="-3.247 2.075 6.293 3.555 -3.977 2.376 2.209 5.233 -1.355" Properties=species:S:1:pos:R:3 pbc="T T T"
Bi 0.819 4.674 2.438
Ti -0.441 -0.275 6.593
Ti 0.678 1.155 2.606
Nb -0.729 2.111 5.475
Ti 0.000 0.000 0.000
Ti 3.669 -1.255 2.690
Nb 3.246 1.220 1.839
Ti 2.958 3.606 0.721
Bi 1.698 -1.343 4.876
Ti -1.151 4.586 4.623
Ti 1.839 2.176 4.707
```

***

No. 7
# Ti5NbBi

Ti5NbBi after structural relaxation (PBE, Alexandria via LeMat-Bulk).

Formation energy: 1.17 eV per formula unit

Structure (extended XYZ):
```
14
Lattice="5.712 0.672 0.517 2.450 5.204 0.517 3.523 2.536 10.001" Properties=species:S:1:pos:R:3 pbc="T T T"
Ti 9.108 6.742 10.522
Ti 6.638 5.275 2.945
Ti 4.036 4.858 3.018
Ti 8.870 5.890 7.945
Nb 0.000 0.000 0.000
Ti 4.163 3.182 5.514
Bi 5.705 2.539 3.018
Ti 5.046 3.138 8.091
Bi 5.979 5.873 8.018
Nb 1.761 1.268 5.001
Ti 2.815 2.522 3.090
Ti 2.577 1.670 0.514
Ti 7.522 5.230 5.521
Ti 7.649 3.554 8.018
```

***

No. 8
# Ti2Nb2Bi

Ti2Nb2Bi after structural relaxation (PBE, Alexandria via LeMat-Bulk).

E above lowest polymorph: 32 meV per atom
Formation energy: 1.20 eV per formula unit

Structure (extended XYZ):
```
10
Lattice="-0.517 -2.202 7.348 6.307 -4.313 -0.849 1.927 2.636 0.926" Properties=species:S:1:pos:R:3 pbc="T T T"
Ti 5.211 -2.069 1.266
Ti 1.994 -0.182 2.588
Nb 5.410 -4.696 2.108
Bi 2.895 -3.258 3.249
Bi 0.000 0.000 0.000
Nb 0.380 -1.819 4.390
Ti 5.723 -3.697 4.836
Nb 3.389 -4.591 6.019
Ti 2.507 -1.810 6.159
Nb 2.401 -1.924 0.479
```

***

No. 9
# TiNbBi

TiNbBi after structural relaxation (PBE, Alexandria via LeMat-Bulk).

E above lowest polymorph: 137 meV per atom
Formation energy: 0.36 eV per formula unit

Structure (extended XYZ):
```
6
Lattice="-1.098 -2.957 0.453 0.072 0.652 -5.644 7.470 -1.464 2.382" Properties=species:S:1:pos:R:3 pbc="T T T"
Bi 4.306 -3.305 0.077
Ti 4.890 -1.500 -2.971
Nb 6.721 -3.120 -1.696
Ti 1.553 -2.269 0.162
Nb -0.279 -0.649 -1.114
Bi 2.137 -0.465 -2.886
```

***

No. 10
# Ti6Nb2Bi

Ti6Nb2Bi after structural relaxation (PBE, Alexandria via LeMat-Bulk).

E above lowest polymorph: 0 meV per atom
Formation energy: -0.08 eV per formula unit

Structure (extended XYZ):
```
18
Lattice="-3.131 3.355 0.770 -5.404 -6.323 5.570 2.696 0.996 6.617" Properties=species:S:1:pos:R:3 pbc="T T T"
Ti -2.112 -2.853 10.866
Nb -2.475 -2.573 8.174
Ti -1.229 2.421 5.544
Nb -0.989 -0.093 3.411
Ti -1.122 0.403 0.711
Bi -5.271 -1.594 6.602
Nb -4.851 -1.879 9.547
Bi -0.569 -0.377 6.356
Ti -4.717 -2.374 12.247
Ti -1.755 2.552 2.836
Ti -2.708 -0.060 10.335
Ti -3.141 0.151 7.657
Nb -3.365 0.601 4.784
Ti -3.728 0.881 2.092
Ti -3.132 -1.911 2.623
Ti -2.699 -2.122 5.301
Ti -4.611 -4.392 7.413
Ti -4.085 -4.523 10.122
```

***

No. 11
# Ti6Nb2Bi

Ti6Nb2Bi after structural relaxation (PBE, Alexandria via LeMat-Bulk).

E above lowest polymorph: 258 meV per atom
Formation energy: 2.24 eV per formula unit

Structure (extended XYZ):
```
18
Lattice="7.737 -0.191 -0.296 -3.108 7.087 0.296 -2.736 -3.165 6.518" Properties=species:S:1:pos:R:3 pbc="T T T"
Ti -2.322 -0.431 5.299
Ti 4.214 4.162 1.219
Ti 5.237 1.486 0.147
Ti 2.373 1.419 1.219
Ti 2.549 0.370 4.176
Nb 1.659 -1.113 2.064
Nb 3.342 -2.243 4.157
Ti 4.377 -0.857 2.045
Bi 0.000 0.000 0.000
Ti -3.345 2.245 6.370
Nb 1.478 4.009 0.975
Ti -0.657 3.362 2.341
Ti -2.485 4.588 4.472
Bi -2.922 1.961 3.407
Ti -0.449 0.302 2.995
Ti -0.481 2.312 5.299
Ti 2.342 3.430 3.523
Nb 0.414 -0.278 5.543
```

***

No. 12
# Ti5Nb2Bi

Ti5Nb2Bi after structural relaxation (PBE, Alexandria via LeMat-Bulk).

Formation energy: 1.06 eV per formula unit

Structure (extended XYZ):
```
16
Lattice="-5.698 2.475 -3.443 -4.224 -2.818 4.966 5.267 5.231 2.369" Properties=species:S:1:pos:R:3 pbc="T T T"
Bi -4.808 2.358 2.327
Ti -2.963 3.558 -1.940
Nb -2.349 -0.558 1.131
Ti -0.612 0.211 3.239
Ti 0.000 0.000 0.000
Nb -5.478 -1.525 3.000
Ti -2.545 2.059 0.441
Ti -3.422 0.114 3.671
Nb -4.444 1.182 -1.476
Ti -4.043 4.678 0.653
Ti -4.961 -0.171 0.762
Bi 0.153 2.530 1.565
Nb -7.573 0.215 0.392
Ti -2.110 2.830 3.451
Ti -1.233 4.775 0.222
Ti -1.692 1.331 5.833
```

***

Number 11 is which compound? Ti6Nb2Bi

***

Number 4 is which compound? TiNbBi